No. 1
Below is a relaxed structure of CrCd2W, with properties calculated at the GGA-PBE level.

Cell and atoms, written as POSCAR:
```
CrCd2W
1.0
6.622 0.000 0.000
0.000 6.622 0.000
0.000 0.000 6.622
Cr Cd W
4 8 4
Direct
0.000 0.000 0.000
0.000 0.500 0.500
0.500 0.000 0.500
0.500 0.500 0.000
0.250 0.250 0.250
0.250 0.250 0.750
0.250 0.750 0.250
0.250 0.750 0.750
0.750 0.250 0.250
0.750 0.250 0.750
0.750 0.750 0.250
0.750 0.750 0.750
0.000 0.000 0.500
0.000 0.500 0.000
0.500 0.000 0.000
0.500 0.500 0.500
```

As for the crystal system: cubic. The offset from the most stable computed form comes out at 492 meV per atom. The space-group type is No. 225. The formation energy from the elements is 0.86 eV/atom.



No. 2
Below is a relaxed structure of BaY2Mo, with properties calculated at the GGA-PBE level.

Cell and atoms, written as POSCAR:
```
BaY2Mo
1.0
5.015 0.000 0.000
0.000 5.015 0.000
0.000 0.000 4.592
Ba Y Mo
1 2 1
Direct
0.000 0.000 0.000
0.000 0.500 0.500
0.500 0.000 0.500
0.500 0.500 0.000
```

As for the crystal system: tetragonal. The offset from the most stable computed form comes out at 433 meV per atom. The space-group type is No. 123. The formation energy from the elements is 0.77 eV/atom.



No. 3
Below is a relaxed structure of LaNb2I, with properties calculated at the GGA-PBE level.

Cell and atoms, written as POSCAR:
```
LaNb2I
1.0
6.337 0.000 0.000
0.000 6.337 0.000
0.000 0.000 11.666
La Nb I
4 8 4
Direct
0.000 0.000 0.000
0.000 0.500 0.250
0.500 0.000 0.750
0.500 0.500 0.500
0.225 0.250 0.125
0.250 0.725 0.375
0.250 0.775 0.875
0.275 0.250 0.625
0.725 0.750 0.625
0.750 0.225 0.875
0.750 0.275 0.375
0.775 0.750 0.125
0.000 0.000 0.500
0.000 0.500 0.750
0.500 0.000 0.250
0.500 0.500 0.000
```

As for the crystal system: tetragonal. The offset from the most stable computed form comes out at 883 meV per atom. The space-group type is No. 122. The uncorrected formation energy is 6.4 eV/f.u.



No. 4
Below is a relaxed structure of Rb2As2Pt, with properties calculated at the GGA-PBE level.

Cell and atoms, written as POSCAR:
```
Rb2As2Pt
1.0
6.656 0.000 0.000
0.000 6.656 0.000
0.000 0.000 5.831
Rb As Pt
4 4 2
Direct
0.176 0.324 0.000
0.324 0.824 0.000
0.676 0.176 0.000
0.824 0.676 0.000
0.138 0.638 0.500
0.362 0.138 0.500
0.638 0.862 0.500
0.862 0.362 0.500
0.000 0.000 0.500
0.500 0.500 0.500
```

As for the crystal system: tetragonal. The offset from the most stable computed form comes out at 161 meV per atom. The space-group type is No. 127. The formation energy from the elements is -0.34 eV/atom.



No. 5
Below is a relaxed structure of Pr5Rh2, with properties calculated at the GGA-PBE level.

Cell and atoms, written as POSCAR:
```
Pr5Rh2
1.0
8.560 -3.318 0.000
8.560 3.318 0.000
-0.911 0.000 7.317
Pr Rh
10 4
Direct
0.074 0.926 0.750
0.142 0.289 0.315
0.289 0.142 0.815
0.301 0.509 0.080
0.491 0.699 0.420
0.509 0.301 0.580
0.699 0.491 0.920
0.711 0.858 0.185
0.858 0.711 0.685
0.926 0.074 0.250
0.088 0.691 0.421
0.309 0.912 0.079
0.691 0.088 0.921
0.912 0.309 0.579
```

As for the crystal system: monoclinic. The space-group type is No. 15. The formation energy from the elements is -0.46 eV/atom.



No. 6
Below is a relaxed structure of LiP3Pd, with properties calculated at the GGA-PBE level.

Cell and atoms, written as POSCAR:
```
LiP3Pd
1.0
4.742 0.000 0.000
0.000 4.742 0.000
0.000 0.000 4.742
Li P Pd
1 3 1
Direct
0.000 0.000 0.000
0.000 0.500 0.500
0.500 0.000 0.500
0.500 0.500 0.000
0.500 0.500 0.500
```

As for the crystal system: cubic. The offset from the most stable computed form comes out at 0 meV per atom. The space-group type is No. 221. The formation energy from the elements is 0.59 eV/atom.